(1)
The following is a DFT calculation (PBE) of a relaxed YBe3Ni2 crystal.

Formation energy from the elements ... -2.09 eV/f.u.

Cell and atoms, written as POSCAR:
```
YBe3Ni2
1.0
4.414 -3.438 0.000
4.414 3.438 0.000
0.000 0.000 4.931
Y Be Ni
2 6 4
Direct
0.173 0.827 0.750 Y
0.827 0.173 0.250 Y
0.036 0.591 0.250 Be
0.409 0.964 0.250 Be
0.425 0.575 0.250 Be
0.575 0.425 0.750 Be
0.591 0.036 0.750 Be
0.964 0.409 0.750 Be
0.297 0.297 0.000 Ni
0.297 0.297 0.500 Ni
0.703 0.703 0.000 Ni
0.703 0.703 0.500 Ni
```

=====

(2)
The following is a DFT calculation (PBE) of a relaxed YBeNi2 crystal.

Formation energy from the elements ... -0.61 eV/f.u.

Cell and atoms, written as POSCAR:
```
YBeNi2
1.0
-1.856 2.421 3.335
1.856 -2.421 3.335
1.856 2.421 -3.335
Y Be Ni
1 1 2
Direct
0.000 0.000 0.000 Y
0.500 0.500 0.000 Be
0.310 0.810 0.500 Ni
0.690 0.190 0.500 Ni
```

=====

(3)
The following is a DFT calculation (PBE) of a relaxed YBeNi2 crystal.

Formation energy from the elements ... -0.21 eV/f.u.

Cell and atoms, written as POSCAR:
```
YBeNi2
1.0
-2.176 2.176 7.233
2.176 -2.176 7.233
2.176 2.176 -7.233
Y Be Ni
2 2 4
Direct
0.000 0.000 0.000 Y
0.750 0.250 0.500 Y
0.250 0.750 0.500 Be
0.500 0.500 0.000 Be
0.323 0.625 0.198 Ni
0.375 0.573 0.698 Ni
0.427 0.125 0.802 Ni
0.875 0.677 0.302 Ni
```

=====

(4)
The following is a DFT calculation (PBE) of a relaxed YBe3Ni crystal.

Excess energy over the best structure of this formula in the dataset ... 0.0 meV/atom
Formation energy from the elements ... -0.54 eV/f.u.

Cell and atoms, written as POSCAR:
```
YBe3Ni
1.0
4.088 0.000 0.000
0.000 4.088 0.000
0.000 0.000 4.088
Y Be Ni
1 3 1
Direct
0.000 0.000 0.000 Y
0.000 0.500 0.500 Be
0.500 0.000 0.500 Be
0.500 0.500 0.000 Be
0.500 0.500 0.500 Ni
```

=====

(5)
The following is a DFT calculation (PBE) of a relaxed YBeNi2 crystal.

Formation energy from the elements ... -0.65 eV/f.u.

Cell and atoms, written as POSCAR:
```
YBeNi2
1.0
3.749 0.000 0.000
0.000 3.746 0.000
-0.318 0.000 4.435
Y Be Ni
1 1 2
Direct
0.000 0.000 0.000 Y
0.477 0.500 0.713 Be
0.485 0.000 0.495 Ni
0.958 0.500 0.492 Ni
```

=====

(6)
The following is a DFT calculation (PBE) of a relaxed YBe3Ni crystal.

Excess energy over the best structure of this formula in the dataset ... 2404.2 meV/atom
Formation energy from the elements ... 11.48 eV/f.u.

Cell and atoms, written as POSCAR:
```
YBe3Ni
1.0
4.826 0.000 0.000
0.000 4.826 0.000
0.000 0.000 4.826
Y Be Ni
1 3 1
Direct
0.000 0.000 0.000 Y
0.000 0.000 0.500 Be
0.000 0.500 0.000 Be
0.500 0.000 0.000 Be
0.500 0.500 0.500 Ni
```

=====

no.,DFT total energy (eV/atom),DOS(E_F) (states/eV/f.u.)
1,-5.22,2.47
2,-5.59,1.99
3,-5.49,2.86
4,-4.79,3.94
5,-5.60,1.98
6,-2.39,6.02